Record 1
VASP calculation (PBE-GGA) on MgSc8Al2 after structural relaxation.

Results
* SG: C2/m (12)
* electronic total energy: -5.460 eV per atom
* formation energy: -0.0301 eV/atom

a b c (Å): 8.0341 8.0341 5.1619
angles (deg): 104.06 104.06 119.00
Closest atoms and distances in Å follow each position.
Fractional positions:
Mg: 0.0000 0.0000 0.0000  8 Sc 2.98-3.32
Sc: 0.0977 0.3341 0.6351  2 Al 2.91-3.03, 5 Sc 3.05-3.21
Sc: 0.2162 0.7838 0.0000  2 Al 2.87, 1 Mg 2.99, 4 Sc 3.16-3.19
Sc: 0.3341 0.0977 0.6351  2 Al 2.91-3.03, 5 Sc 3.05-3.21
Sc: 0.4086 0.4086 0.2031  1 Sc 2.69, 1 Mg 2.98, 2 Al 3.00
Sc: 0.5914 0.5914 0.7969  1 Sc 2.69, 1 Mg 2.98, 2 Al 3.00
Sc: 0.6659 0.9023 0.3649  2 Al 2.91-3.03, 5 Sc 3.05-3.21
Sc: 0.7838 0.2162 0.0000  2 Al 2.87, 1 Mg 2.99, 4 Sc 3.16-3.19
Sc: 0.9023 0.6659 0.3649  2 Al 2.91-3.03, 5 Sc 3.05-3.21
Al: 0.3064 0.6936 0.5000  8 Sc 2.87-3.03
Al: 0.6936 0.3064 0.5000  8 Sc 2.87-3.03

Record 2
VASP calculation (PBE-GGA) on Mg2ScAl after structural relaxation.

Results
* SG: I-42d (122)
* electronic total energy: -3.122 eV per atom
* formation energy: 0.1936 eV/atom

a b c (Å): 6.3705 6.3705 6.3705
angles (deg): 102.09 102.09 125.52
Closest atoms and distances in Å follow each position.
Fractional positions:
Mg: 0.0927 0.6250 0.9677  2 Al 2.75, 2 Mg 2.96
Mg: 0.3750 0.3427 0.4677  2 Al 2.75, 2 Mg 2.96
Mg: 0.6573 0.1250 0.0323  2 Al 2.75, 2 Mg 2.96
Mg: 0.8750 0.9073 0.5323  2 Al 2.75, 2 Mg 2.96
Sc: 0.2500 0.7500 0.5000  2 Al 2.92, 4 Mg 3.11
Sc: 0.5000 0.5000 0.0000  2 Al 2.92, 4 Mg 3.11
Al: 0.0000 0.0000 0.0000  4 Mg 2.75, 2 Sc 2.92
Al: 0.7500 0.2500 0.5000  4 Mg 2.75, 2 Sc 2.92

Record 3
VASP calculation (PBE-GGA) on Mg16ScAl12 after structural relaxation.

Results
* E above lowest polymorph: 3 meV per atom
* SG: R3m (160)
* electronic total energy: -2.709 eV per atom
* formation energy: -0.0623 eV/atom

a b c (Å): 9.1593 9.1593 9.1593
angles (deg): 109.97 109.97 109.97
Closest atoms and distances in Å follow each position.
Fractional positions:
Mg: 0.0000 0.0000 0.0000  3 Mg 3.13, 12 Al 3.17-3.23, 1 Sc 3.30
Mg: 0.2763 0.6023 0.6023  5 Al 2.84-3.10, 1 Sc 3.03, 4 Mg 3.12-3.13
Mg: 0.3132 0.3132 0.7155  5 Al 2.85-3.18, 5 Mg 3.05-3.16
Mg: 0.3132 0.7155 0.3132  5 Al 2.85-3.18, 5 Mg 3.05-3.16
Mg: 0.3931 0.6863 0.9983  5 Al 2.94-3.25, 7 Mg 3.04-3.16
Mg: 0.3931 0.9983 0.6863  5 Al 2.94-3.25, 7 Mg 3.04-3.16
Mg: 0.6023 0.2763 0.6023  5 Al 2.84-3.10, 1 Sc 3.03, 4 Mg 3.12-3.13
Mg: 0.6023 0.6023 0.2763  5 Al 2.84-3.10, 1 Sc 3.03, 4 Mg 3.12-3.13
Mg: 0.6555 0.9954 0.9954  4 Mg 3.04-3.13, 6 Al 3.07-3.10
Mg: 0.6863 0.3931 0.9983  5 Al 2.94-3.25, 7 Mg 3.04-3.16
Mg: 0.6863 0.9983 0.3931  5 Al 2.94-3.25, 7 Mg 3.04-3.16
Mg: 0.7155 0.3132 0.3132  5 Al 2.85-3.18, 5 Mg 3.05-3.16
Mg: 0.9954 0.6555 0.9954  4 Mg 3.04-3.13, 6 Al 3.07-3.10
Mg: 0.9954 0.9954 0.6555  4 Mg 3.04-3.13, 6 Al 3.07-3.10
Mg: 0.9983 0.3931 0.6863  5 Al 2.94-3.25, 7 Mg 3.04-3.16
Mg: 0.9983 0.6863 0.3931  5 Al 2.94-3.25, 7 Mg 3.04-3.16
Sc: 0.3691 0.3691 0.3691  4 Mg 3.03-3.30, 9 Al 3.17-3.24
Al: 0.0029 0.1859 0.3642  3 Al 2.68-2.78, 3 Mg 2.94-2.98
Al: 0.0029 0.3642 0.1859  3 Al 2.68-2.78, 3 Mg 2.94-2.98
Al: 0.1721 0.8088 0.8088  3 Al 2.69-2.78, 3 Mg 2.84-2.98
Al: 0.1859 0.0029 0.3642  3 Al 2.68-2.78, 3 Mg 2.94-2.98
Al: 0.1859 0.3642 0.0029  3 Al 2.68-2.78, 3 Mg 2.94-2.98
Al: 0.3642 0.0029 0.1859  3 Al 2.68-2.78, 3 Mg 2.94-2.98
Al: 0.3642 0.1859 0.0029  3 Al 2.68-2.78, 3 Mg 2.94-2.98
Al: 0.6242 0.6242 0.8071  3 Al 2.69-2.74, 3 Mg 2.85-2.99
Al: 0.6242 0.8071 0.6242  3 Al 2.69-2.74, 3 Mg 2.85-2.99
Al: 0.8071 0.6242 0.6242  3 Al 2.69-2.74, 3 Mg 2.85-2.99
Al: 0.8088 0.1721 0.8088  3 Al 2.69-2.78, 3 Mg 2.84-2.98
Al: 0.8088 0.8088 0.1721  3 Al 2.69-2.78, 3 Mg 2.84-2.98

Record 4
VASP calculation (PBE-GGA) on Mg2ScAl after structural relaxation.

Results
* SG: P4mm (99)
* electronic total energy: -3.447 eV per atom
* formation energy: -0.1315 eV/atom

a b c (Å): 3.1965 3.1965 8.2759
angles (deg): 90.00 90.00 90.00
Closest atoms and distances in Å follow each position.
Fractional positions:
Mg: 0.0000 0.0000 0.0000  4 Al 2.94, 8 Mg 3.16-3.20
Mg: 0.5000 0.5000 0.2677  8 Mg 3.16-3.20, 4 Sc 3.24
Sc: 0.0000 0.0000 0.5485  4 Al 2.93, 4 Sc 3.20, 4 Mg 3.24
Al: 0.5000 0.5000 0.7736  4 Sc 2.93, 4 Mg 2.94, 4 Al 3.20

Record 5
VASP calculation (PBE-GGA) on MgSc2Al9 after structural relaxation.

Results
* SG: P4/mmm (123)
* electronic total energy: -4.284 eV per atom
* formation energy: -0.2885 eV/atom

a b c (Å): 4.1093 4.1093 12.3803
angles (deg): 90.00 90.00 90.00
Closest atoms and distances in Å follow each position.
Fractional positions:
Mg: 0.0000 0.0000 0.0000  12 Al 2.91
Sc: 0.0000 0.0000 0.3355  12 Al 2.89-2.94
Sc: 0.0000 0.0000 0.6645  12 Al 2.89-2.94
Al: 0.0000 0.5000 0.1661  8 Al 2.91-2.92, 2 Mg 2.91, 2 Sc 2.94
Al: 0.0000 0.5000 0.5000  4 Sc 2.89, 8 Al 2.91
Al: 0.0000 0.5000 0.8339  8 Al 2.91-2.92, 2 Mg 2.91, 2 Sc 2.94
Al: 0.5000 0.0000 0.1661  8 Al 2.91-2.92, 2 Mg 2.91, 2 Sc 2.94
Al: 0.5000 0.0000 0.5000  4 Sc 2.89, 8 Al 2.91
Al: 0.5000 0.0000 0.8339  8 Al 2.91-2.92, 2 Mg 2.91, 2 Sc 2.94
Al: 0.5000 0.5000 0.0000  4 Mg 2.91, 8 Al 2.91
Al: 0.5000 0.5000 0.3341  8 Al 2.91-2.92, 4 Sc 2.91
Al: 0.5000 0.5000 0.6659  8 Al 2.91-2.92, 4 Sc 2.91

Record 6
VASP calculation (PBE-GGA) on Mg2ScAl after structural relaxation.

Results
* SG: Cm (8)
* electronic total energy: -3.358 eV per atom
* formation energy: -0.0420 eV/atom

a b c (Å): 5.2559 5.2559 5.6692
angles (deg): 100.01 100.01 33.87
Closest atoms and distances in Å follow each position.
Fractional positions:
Mg: 0.0000 0.0000 0.0000  3 Al 2.97-3.25, 5 Mg 3.00-3.10, 4 Sc 3.18-3.27
Mg: 0.2427 0.2427 0.7620  5 Mg 3.00-3.10, 3 Sc 3.10-3.20, 4 Al 3.20-3.24
Sc: 0.4808 0.4808 0.4842  3 Al 2.98-3.08, 2 Sc 3.06, 7 Mg 3.10-3.27
Al: 0.7362 0.7362 0.2564  7 Mg 2.97-3.25, 3 Sc 2.98-3.08, 2 Al 3.06

Record 7
VASP calculation (PBE-GGA) on Mg2ScAl after structural relaxation.

Results
* SG: Immm (71)
* electronic total energy: -3.409 eV per atom
* formation energy: -0.0936 eV/atom

a b c (Å): 5.9276 5.9276 5.9276
angles (deg): 146.23 131.89 60.07
Closest atoms and distances in Å follow each position.
Fractional positions:
Mg: 0.2354 0.2354 0.0000  2 Al 2.97, 4 Mg 2.98, 2 Sc 3.22
Mg: 0.7646 0.7646 0.0000  2 Al 2.97, 4 Mg 2.98, 2 Sc 3.22
Sc: 0.5000 0.0000 0.5000  4 Al 2.97, 4 Mg 3.22
Al: 0.0000 0.5000 0.5000  4 Mg 2.97, 4 Sc 2.97

Record 8
VASP calculation (PBE-GGA) on Mg2ScAl2 after structural relaxation.

Results
* E above lowest polymorph: 0 meV per atom
* SG: P4/mbm (127)
* electronic total energy: -3.445 eV per atom
* formation energy: -0.0441 eV/atom

a b c (Å): 7.8785 7.8785 3.3214
angles (deg): 90.00 90.00 90.00
Closest atoms and distances in Å follow each position.
Fractional positions:
Mg: 0.1752 0.3248 0.0000  6 Al 2.80-2.91
Mg: 0.3248 0.8248 0.0000  6 Al 2.80-2.91
Mg: 0.6752 0.1752 0.0000  6 Al 2.80-2.91
Mg: 0.8248 0.6752 0.0000  6 Al 2.80-2.91
Sc: 0.0000 0.0000 0.5000  4 Al 3.12, 2 Sc 3.32, 8 Mg 3.35
Sc: 0.5000 0.5000 0.5000  4 Al 3.12, 2 Sc 3.32, 8 Mg 3.35
Al: 0.1230 0.6230 0.5000  1 Al 2.74, 6 Mg 2.80-2.91
Al: 0.3770 0.1230 0.5000  1 Al 2.74, 6 Mg 2.80-2.91
Al: 0.6230 0.8770 0.5000  1 Al 2.74, 6 Mg 2.80-2.91
Al: 0.8770 0.3770 0.5000  1 Al 2.74, 6 Mg 2.80-2.91

Record 9
VASP calculation (PBE-GGA) on Mg2Sc3Al after structural relaxation.

Results
* SG: P4/mmm (123)
* electronic total energy: -4.507 eV per atom
* formation energy: -0.1859 eV/atom

a b c (Å): 3.4911 3.4911 10.7444
angles (deg): 90.00 90.00 90.00
Closest atoms and distances in Å follow each position.
Fractional positions:
Mg: 0.0000 0.0000 0.1730  8 Sc 3.09-3.10
Mg: 0.0000 0.0000 0.8270  8 Sc 3.09-3.10
Sc: 0.5000 0.5000 0.0000  8 Mg 3.09
Sc: 0.5000 0.5000 0.3473  4 Al 2.96, 4 Mg 3.10, 1 Sc 3.28
Sc: 0.5000 0.5000 0.6527  4 Al 2.96, 4 Mg 3.10, 1 Sc 3.28
Al: 0.0000 0.0000 0.5000  8 Sc 2.96

Record 10
VASP calculation (PBE-GGA) on Mg16ScAl12 after structural relaxation.

Results
* E above lowest polymorph: 12 meV per atom
* SG: Cm (8)
* electronic total energy: -2.700 eV per atom
* formation energy: -0.0533 eV/atom

a b c (Å): 9.1550 9.1550 9.0392
angles (deg): 109.32 109.32 109.59
Closest atoms and distances in Å follow each position.
Fractional positions:
Mg: 0.0000 0.0000 0.0000  3 Mg 3.05-3.14, 6 Al 3.05-3.13, 1 Sc 3.07
Mg: 0.0041 0.4060 0.0334  5 Al 2.89-3.19, 6 Mg 3.06-3.19, 1 Sc 3.19
Mg: 0.0051 0.6875 0.7448  5 Al 2.91-3.14, 7 Mg 3.05-3.19
Mg: 0.0057 0.0057 0.3513  4 Mg 3.10-3.17, 12 Al 3.15-3.25
Mg: 0.0074 0.6677 0.3526  4 Mg 3.05-3.10, 6 Al 3.05-3.12
Mg: 0.2912 0.6079 0.9530  5 Al 2.90-3.19, 6 Mg 3.03-3.16, 1 Sc 3.21
Mg: 0.3204 0.7175 0.6646  5 Al 2.90-3.22, 7 Mg 3.05-3.18
Mg: 0.3518 0.3518 0.6999  4 Mg 3.03-3.17, 6 Al 3.07-3.13
Mg: 0.4009 0.6932 0.3477  5 Al 2.92-3.22, 6 Mg 3.06-3.16, 1 Sc 3.14
Mg: 0.4060 0.0041 0.0334  5 Al 2.89-3.19, 6 Mg 3.06-3.19, 1 Sc 3.19
Mg: 0.6049 0.6049 0.6291  5 Al 2.90-3.15, 7 Mg 3.08-3.19
Mg: 0.6079 0.2912 0.9530  5 Al 2.90-3.19, 6 Mg 3.03-3.16, 1 Sc 3.21
Mg: 0.6677 0.0074 0.3526  4 Mg 3.05-3.10, 6 Al 3.05-3.12
Mg: 0.6875 0.0051 0.7448  5 Al 2.91-3.14, 7 Mg 3.05-3.19
Mg: 0.6932 0.4009 0.3477  5 Al 2.92-3.22, 6 Mg 3.06-3.16, 1 Sc 3.14
Mg: 0.7175 0.3204 0.6646  5 Al 2.90-3.22, 7 Mg 3.05-3.18
Sc: 0.3214 0.3214 0.0721  5 Al 2.92-3.06, 7 Mg 3.07-3.21
Al: 0.0066 0.3707 0.5313  3 Al 2.71-2.74, 3 Mg 2.91-2.97
Al: 0.0098 0.1936 0.7193  3 Al 2.71-2.79, 2 Mg 2.89-3.01, 1 Sc 2.99
Al: 0.1842 0.8218 0.1613  3 Al 2.68-2.77, 3 Mg 2.90-2.97
Al: 0.1923 0.3723 0.3474  3 Al 2.69-2.77, 3 Mg 2.92-2.98
Al: 0.1936 0.0098 0.7193  3 Al 2.71-2.79, 2 Mg 2.89-3.01, 1 Sc 2.99
Al: 0.3707 0.0066 0.5313  3 Al 2.71-2.74, 3 Mg 2.91-2.97
Al: 0.3723 0.1923 0.3474  3 Al 2.69-2.77, 3 Mg 2.92-2.98
Al: 0.6350 0.6350 0.1634  3 Al 2.70-2.77, 1 Sc 2.92, 2 Mg 2.96
Al: 0.6409 0.8261 0.9813  3 Al 2.68-2.77, 2 Mg 2.90-2.99
Al: 0.8205 0.8205 0.5278  3 Al 2.70-2.79, 3 Mg 2.90-2.99
Al: 0.8218 0.1842 0.1613  3 Al 2.68-2.77, 3 Mg 2.90-2.97
Al: 0.8261 0.6409 0.9813  3 Al 2.68-2.77, 2 Mg 2.90-2.99

Record 11
VASP calculation (PBE-GGA) on Mg2ScAl after structural relaxation.

Results
* SG: Pmm2 (25)
* electronic total energy: -3.406 eV per atom
* formation energy: -0.0904 eV/atom

a b c (Å): 3.0832 4.3875 6.2622
angles (deg): 90.00 90.00 90.00
Closest atoms and distances in Å follow each position.
Fractional positions:
Mg: 0.0000 0.0000 0.0000  2 Sc 3.00-3.26, 6 Mg 3.08-3.11, 4 Al 3.14
Mg: 0.5000 0.5000 0.2502  2 Al 3.06-3.20, 6 Mg 3.08-3.11, 4 Sc 3.17
Sc: 0.0000 0.0000 0.5202  6 Mg 3.00-3.26, 4 Al 3.01, 2 Sc 3.08
Al: 0.5000 0.5000 0.7395  4 Sc 3.01, 6 Mg 3.06-3.20, 2 Al 3.08

Record 12
VASP calculation (PBE-GGA) on MgSc5Al3 after structural relaxation.

Results
* SG: P6_3/mcm (193)
* electronic total energy: -5.281 eV per atom
* formation energy: -0.3391 eV/atom

a b c (Å): 8.4828 8.4828 6.0546
angles (deg): 90.00 90.00 120.00
Closest atoms and distances in Å follow each position.
Fractional positions:
Mg: 0.0000 0.0000 0.0000  2 Mg 3.03, 6 Sc 3.10, 6 Al 3.32
Mg: 0.0000 0.0000 0.5000  2 Mg 3.03, 6 Sc 3.10, 6 Al 3.32
Sc: 0.0000 0.3183 0.2500  5 Al 2.83-3.04, 2 Mg 3.10
Sc: 0.0000 0.6817 0.7500  5 Al 2.83-3.04, 2 Mg 3.10
Sc: 0.3183 0.0000 0.2500  5 Al 2.83-3.04, 2 Mg 3.10
Sc: 0.3183 0.3183 0.7500  5 Al 2.83-3.04, 2 Mg 3.10
Sc: 0.3333 0.6667 0.0000  8 Sc 3.03-3.27, 6 Al 3.15
Sc: 0.3333 0.6667 0.5000  8 Sc 3.03-3.27, 6 Al 3.15
Sc: 0.6667 0.3333 0.0000  8 Sc 3.03-3.27, 6 Al 3.15
Sc: 0.6667 0.3333 0.5000  8 Sc 3.03-3.27, 6 Al 3.15
Sc: 0.6817 0.0000 0.7500  5 Al 2.83-3.04, 2 Mg 3.10
Sc: 0.6817 0.6817 0.2500  5 Al 2.83-3.04, 2 Mg 3.10
Al: 0.0000 0.3482 0.7500  9 Sc 2.83-3.15
Al: 0.0000 0.6518 0.2500  9 Sc 2.83-3.15
Al: 0.3482 0.0000 0.7500  9 Sc 2.83-3.15
Al: 0.3482 0.3482 0.2500  9 Sc 2.83-3.15
Al: 0.6518 0.0000 0.2500  9 Sc 2.83-3.15
Al: 0.6518 0.6518 0.7500  9 Sc 2.83-3.15